# 1
{
  "formula": "InGe2Pb",
  "functional": "PBE",
  "state": "relaxed",
  "lattice_angstrom": [[6.3261, 0.0000, 0.0000], [0.0000, 6.3261, 0.0000], [3.1631, 3.1631, 6.3127]],
  "species": ["Pb", "Pb", "In", "Ge", "Ge", "Ge", "Ge", "In"],
  "frac_coords": [[0.7500, 0.2500, 0.5000], [0.0000, 0.0000, 0.0000], [0.2500, 0.7500, 0.5000], [0.1359, 0.6250, 0.2500], [0.8750, 0.8641, 0.7500], [0.3750, 0.3859, 0.7500], [0.6141, 0.1250, 0.2500], [0.5000, 0.5000, 0.0000]],
  "n_ef_per_ev_atom": 0.76,
  "e_above_lowest_polymorph_mev_per_atom": 0,
  "density_g_cm3": 6.14
}

# 2
{
  "formula": "Rb3Cr2PbBr9",
  "functional": "PBE",
  "state": "relaxed",
  "lattice_angstrom": [[-6.5664, 4.0695, 0.7373], [1.3444, -6.0711, 4.6429], [4.3433, 5.8503, 6.3923]],
  "species": ["Rb", "Br", "Cr", "Pb", "Br", "Br", "Br", "Br", "Cr", "Rb", "Rb", "Br", "Br", "Br", "Br"],
  "frac_coords": [[0.6667, 0.3333, 0.3115], [0.3505, 0.1752, 0.6878], [0.3333, 0.6667, 0.1527], [0.0000, 0.0000, 0.5000], [0.6495, 0.8248, 0.3122], [0.5000, 0.0000, 0.0000], [0.8248, 0.6495, 0.6878], [0.5000, 0.5000, 0.0000], [0.6667, 0.3333, 0.8473], [0.0000, 0.0000, 0.0000], [0.3333, 0.6667, 0.6885], [0.0000, 0.5000, 0.0000], [0.8248, 0.1752, 0.6878], [0.1752, 0.3505, 0.3122], [0.1752, 0.8248, 0.3122]],
  "n_ef_per_ev_atom": 0.11,
  "density_g_cm3": 4.23,
  "raw_formation_energy_mev_per_atom": -1127
}

# 3
{
  "formula": "KAlCl",
  "functional": "PBE",
  "state": "relaxed",
  "lattice_angstrom": [[-0.5695, 3.3318, -1.7093], [-2.9401, -2.2603, 0.7706], [-0.7327, 3.0888, 6.2647]],
  "species": ["Al", "Cl", "K"],
  "frac_coords": [[0.0000, 0.0000, 0.0337], [0.6667, 0.3333, 0.3352], [0.3333, 0.6667, 0.6310]],
  "n_ef_per_ev_atom": 0.38,
  "e_above_lowest_polymorph_mev_per_atom": 12,
  "density_g_cm3": 1.93,
  "raw_formation_energy_mev_per_atom": -414
}